## CaPm2ScSe4 (PBE)

Data for a relaxed CaPm2ScSe4 crystal.

abc: 7.0996 4.0811 7.1803
angles: 90.00 108.95 90.00
Positions (direct):
Ca: 0.0000 0.0000 0.0000
Pm: 0.0000 0.5000 0.5000
Pm: 0.5000 0.0000 0.5000
Sc: 0.5000 0.5000 0.0000
Se: 0.2537 0.5000 0.2367
Se: 0.2636 0.0000 0.7695
Se: 0.7364 0.0000 0.2305
Se: 0.7463 0.5000 0.7633

The value obtained for the size of the total moment is 0.0 μB/f.u. For the uncorrected formation energy, the calculation gives -1.787 eV per atom. The value obtained for the total energy is -46.1 eV for the cell shown.

## CaPmSmSc (PBE)

Data for a relaxed CaPmSmSc crystal.

abc: 8.0386 8.0386 8.0386
angles: 90.00 90.00 90.00
Positions (direct):
Ca: 0.0000 0.0000 0.0000
Ca: 0.0000 0.5000 0.5000
Ca: 0.5000 0.0000 0.5000
Ca: 0.5000 0.5000 0.0000
Pm: 0.2500 0.2500 0.7500
Pm: 0.2500 0.7500 0.2500
Pm: 0.7500 0.2500 0.2500
Pm: 0.7500 0.7500 0.7500
Sm: 0.2500 0.2500 0.2500
Sm: 0.2500 0.7500 0.7500
Sm: 0.7500 0.2500 0.7500
Sm: 0.7500 0.7500 0.2500
Sc: 0.0000 0.0000 0.5000
Sc: 0.0000 0.5000 0.0000
Sc: 0.5000 0.0000 0.0000
Sc: 0.5000 0.5000 0.5000

The value obtained for the size of the total moment is 0.0 μB/f.u. The formation energy comes out at 0.141 eV per atom. The value obtained for the total energy is -69.0 eV for the cell shown.

## Ca3Pm3ScTe8 (PBE)

Data for a relaxed Ca3Pm3ScTe8 crystal.

abc: 8.9890 8.9890 8.9890
angles: 58.90 58.90 58.90
Positions (direct):
Ca: 0.0000 0.5000 0.5000
Ca: 0.5000 0.0000 0.5000
Ca: 0.5000 0.5000 0.0000
Pm: 0.0000 0.0000 0.5000
Pm: 0.0000 0.5000 0.0000
Pm: 0.5000 0.0000 0.0000
Sc: 0.5000 0.5000 0.5000
Te: 0.2510 0.2510 0.2510
Te: 0.2602 0.2602 0.7396
Te: 0.2602 0.7396 0.2602
Te: 0.2604 0.7398 0.7398
Te: 0.7396 0.2602 0.2602
Te: 0.7398 0.2604 0.7398
Te: 0.7398 0.7398 0.2604
Te: 0.7490 0.7490 0.7490

The value obtained for the size of the total moment is 0.0 μB/f.u. For the uncorrected formation energy, the calculation gives -1.479 eV per atom. The value obtained for the total energy is -73.9 eV for the cell shown.

## Ca3Pm2ScTe6 (PBE)

Data for a relaxed Ca3Pm2ScTe6 crystal.

abc: 9.9660 9.9660 8.9482
angles: 104.24 104.24 25.47
Positions (direct):
Ca: 0.0000 0.0000 0.0000
Ca: 0.3301 0.3301 0.6637
Ca: 0.6699 0.6699 0.3363
Pm: 0.3319 0.3319 0.1625
Pm: 0.6681 0.6681 0.8375
Sc: 0.0000 0.0000 0.5000
Te: 0.1602 0.1602 0.5789
Te: 0.1646 0.1646 0.0881
Te: 0.4987 0.4987 0.7340
Te: 0.5013 0.5013 0.2660
Te: 0.8354 0.8354 0.9119
Te: 0.8398 0.8398 0.4211

The value obtained for the size of the total moment is 0.0 μB/f.u. For the uncorrected formation energy, the calculation gives -1.447 eV per atom. The value obtained for the total energy is -58.1 eV for the cell shown.

## CaPm2ScTe4 (PBE)

Data for a relaxed CaPm2ScTe4 crystal.

abc: 7.5800 4.3542 7.6904
angles: 90.00 108.86 90.00
Positions (direct):
Ca: 0.0000 0.0000 0.0000
Pm: 0.0000 0.5000 0.5000
Pm: 0.5000 0.0000 0.5000
Sc: 0.5000 0.5000 0.0000
Te: 0.2540 0.5000 0.2384
Te: 0.2628 0.0000 0.7674
Te: 0.7372 0.0000 0.2326
Te: 0.7460 0.5000 0.7616

The value obtained for the size of the total moment is 0.0 μB/f.u. For the uncorrected formation energy, the calculation gives -1.363 eV per atom. The value obtained for the total energy is -41.3 eV for the cell shown.

## CaPm2Se3 (PBE)

Data for a relaxed CaPm2Se3 crystal.

abc: 4.1607 4.1607 21.1523
angles: 90.00 90.00 120.00
Positions (direct):
Ca: 0.0000 0.0000 0.2500
Ca: 0.0000 0.0000 0.7500
Pm: 0.3333 0.6667 0.0790
Pm: 0.3333 0.6667 0.4210
Pm: 0.6667 0.3333 0.5790
Pm: 0.6667 0.3333 0.9210
Se: 0.0000 0.0000 0.0000
Se: 0.0000 0.0000 0.5000
Se: 0.3333 0.6667 0.6648
Se: 0.3333 0.6667 0.8352
Se: 0.6667 0.3333 0.1648
Se: 0.6667 0.3333 0.3352

The value obtained for the size of the total moment is 0.0 μB/f.u. For the uncorrected formation energy, the calculation gives -1.852 eV per atom. The value obtained for the total energy is -66.1 eV for the cell shown.

## CaPm2Se3 (PBE)

Data for a relaxed CaPm2Se3 crystal.

abc: 4.1617 5.9249 12.6977
angles: 90.00 90.00 90.00
Positions (direct):
Ca: 0.0000 0.0000 0.0000
Ca: 0.5000 0.5000 0.5000
Pm: 0.0000 0.0000 0.3327
Pm: 0.0000 0.0000 0.6673
Pm: 0.5000 0.5000 0.1673
Pm: 0.5000 0.5000 0.8327
Se: 0.0000 0.5000 0.0000
Se: 0.0000 0.5000 0.3374
Se: 0.0000 0.5000 0.6626
Se: 0.5000 0.0000 0.1626
Se: 0.5000 0.0000 0.5000
Se: 0.5000 0.0000 0.8374

The value obtained for the size of the total moment is 0.0 μB/f.u. For the uncorrected formation energy, the calculation gives -1.884 eV per atom. The value obtained for the total energy is -66.5 eV for the cell shown.

## CaPm5Se8 (PBE)

Data for a relaxed CaPm5Se8 crystal.

abc: 7.7065 7.7065 7.7065
angles: 109.66 109.66 109.10
Positions (direct):
Ca: 0.0000 0.0000 0.0000
Pm: 0.1213 0.4942 0.8712
Pm: 0.2500 0.7500 0.5000
Pm: 0.5058 0.3770 0.6271
Pm: 0.6230 0.2500 0.1288
Pm: 0.7500 0.8787 0.3729
Se: 0.0237 0.2734 0.3949
Se: 0.2318 0.1280 0.7472
Se: 0.3713 0.9763 0.2497
Se: 0.3808 0.4845 0.2528
Se: 0.5155 0.7682 0.8963
Se: 0.7266 0.1216 0.7503
Se: 0.8720 0.6192 0.1037
Se: 0.8784 0.6287 0.6051

The value obtained for the size of the total moment is 0.0 μB/f.u. For the uncorrected formation energy, the calculation gives -1.886 eV per atom. The value obtained for the total energy is -80.0 eV for the cell shown.

## CaPm6Se8 (PBE)

Data for a relaxed CaPm6Se8 crystal.

abc: 8.3723 8.3723 8.3723
angles: 60.00 60.00 60.00
Positions (direct):
Ca: 0.0000 0.0000 0.0000
Pm: 0.0000 0.0000 0.5000
Pm: 0.0000 0.5000 0.0000
Pm: 0.0000 0.5000 0.5000
Pm: 0.5000 0.0000 0.0000
Pm: 0.5000 0.0000 0.5000
Pm: 0.5000 0.5000 0.0000
Se: 0.2500 0.2500 0.2500
Se: 0.2500 0.2500 0.7500
Se: 0.2500 0.7500 0.2500
Se: 0.2500 0.7500 0.7500
Se: 0.7500 0.2500 0.2500
Se: 0.7500 0.2500 0.7500
Se: 0.7500 0.7500 0.2500
Se: 0.7500 0.7500 0.7500

The value obtained for the size of the total moment is 0.0 μB/f.u. For the uncorrected formation energy, the calculation gives -1.899 eV per atom. The value obtained for the total energy is -86.9 eV for the cell shown.

## Ca4PmSe5 (PBE)

Data for a relaxed Ca4PmSe5 crystal.

abc: 7.2833 7.2833 7.2833
angles: 99.58 99.58 131.85
Positions (direct):
Ca: 0.1000 0.6993 0.7993
Ca: 0.3007 0.1000 0.4007
Ca: 0.6993 0.9000 0.5993
Ca: 0.9000 0.3007 0.2007
Pm: 0.5000 0.5000 0.0000
Se: 0.0000 0.0000 0.0000
Se: 0.2000 0.3994 0.5994
Se: 0.3994 0.8000 0.1994
Se: 0.6006 0.2000 0.8006
Se: 0.8000 0.6006 0.4006

The value obtained for the size of the total moment is 0.0 μB/f.u. For the uncorrected formation energy, the calculation gives -1.967 eV per atom. The value obtained for the total energy is -49.9 eV for the cell shown.

## CaPmSe (PBE)

Data for a relaxed CaPmSe crystal.

abc: 3.8418 5.8162 16.9456
angles: 90.00 90.00 90.00
Positions (direct):
Ca: 0.0000 0.0000 0.1747
Ca: 0.0000 0.0000 0.8253
Ca: 0.5000 0.5000 0.3253
Ca: 0.5000 0.5000 0.6747
Pm: 0.0000 0.2479 0.5000
Pm: 0.0000 0.7521 0.5000
Pm: 0.5000 0.2521 0.0000
Pm: 0.5000 0.7479 0.0000
Se: 0.0000 0.0000 0.3425
Se: 0.0000 0.0000 0.6575
Se: 0.5000 0.5000 0.1575
Se: 0.5000 0.5000 0.8425

The value obtained for the size of the total moment is 0.1 μB/f.u. For the uncorrected formation energy, the calculation gives -0.759 eV per atom. The value obtained for the total energy is -50.1 eV for the cell shown.

## CaPm4Se6 (PBE)

Data for a relaxed CaPm4Se6 crystal.

abc: 8.2851 8.2851 8.2851
angles: 90.86 90.86 90.86
Positions (direct):
Ca: 0.0000 0.0000 0.0000
Ca: 0.5000 0.5000 0.5000
Pm: 0.1390 0.7500 0.3610
Pm: 0.2500 0.2500 0.2500
Pm: 0.2500 0.6390 0.8610
Pm: 0.3610 0.1390 0.7500
Pm: 0.6390 0.8610 0.2500
Pm: 0.7500 0.3610 0.1390
Pm: 0.7500 0.7500 0.7500
Pm: 0.8610 0.2500 0.6390
Se: 0.0607 0.9131 0.6786
Se: 0.0869 0.3214 0.9393
Se: 0.1786 0.4131 0.5607
Se: 0.3214 0.9393 0.0869
Se: 0.4131 0.5607 0.1786
Se: 0.4393 0.8214 0.5869
Se: 0.5607 0.1786 0.4131
Se: 0.5869 0.4393 0.8214
Se: 0.6786 0.0607 0.9131
Se: 0.8214 0.5869 0.4393
Se: 0.9131 0.6786 0.0607
Se: 0.9393 0.0869 0.3214

The value obtained for the size of the total moment is 0.0 μB/f.u. For the uncorrected formation energy, the calculation gives -1.740 eV per atom. The value obtained for the total energy is -122.1 eV for the cell shown.

## Ca2PmSe4 (PBE)

Data for a relaxed Ca2PmSe4 crystal.

abc: 7.4321 7.4321 13.3938
angles: 90.00 90.00 148.12
Positions (direct):
Ca: 0.1301 0.8699 0.5674
Ca: 0.1301 0.8699 0.9326
Ca: 0.8699 0.1301 0.0674
Ca: 0.8699 0.1301 0.4326
Pm: 0.3791 0.6209 0.7500
Pm: 0.6209 0.3791 0.2500
Se: 0.0239 0.9761 0.7500
Se: 0.2270 0.7730 0.1265
Se: 0.2270 0.7730 0.3735
Se: 0.5000 0.5000 0.0000
Se: 0.5000 0.5000 0.5000
Se: 0.7730 0.2270 0.6265
Se: 0.7730 0.2270 0.8735
Se: 0.9761 0.0239 0.2500

The value obtained for the size of the total moment is 0.0 μB/f.u. For the uncorrected formation energy, the calculation gives -1.685 eV per atom. The value obtained for the total energy is -69.0 eV for the cell shown.

## Ca2PmSe3 (PBE)

Data for a relaxed Ca2PmSe3 crystal.

abc: 4.1823 5.9485 12.6432
angles: 90.00 90.00 90.00
Positions (direct):
Ca: 0.0000 0.0000 0.1674
Ca: 0.0000 0.0000 0.8326
Ca: 0.5000 0.5000 0.3326
Ca: 0.5000 0.5000 0.6674
Pm: 0.0000 0.0000 0.5000
Pm: 0.5000 0.5000 0.0000
Se: 0.0000 0.5000 0.1680
Se: 0.0000 0.5000 0.5000
Se: 0.0000 0.5000 0.8320
Se: 0.5000 0.0000 0.0000
Se: 0.5000 0.0000 0.3320
Se: 0.5000 0.0000 0.6680

The value obtained for the size of the total moment is 0.0 μB/f.u. For the uncorrected formation energy, the calculation gives -1.935 eV per atom. The value obtained for the total energy is -61.6 eV for the cell shown.

## Ca4Pm3SmSe8 (PBE)

Data for a relaxed Ca4Pm3SmSe8 crystal.

abc: 8.4536 8.4536 8.4536
angles: 58.96 58.96 58.96
Positions (direct):
Ca: 0.0000 0.0000 0.0000
Ca: 0.0000 0.5000 0.5000
Ca: 0.5000 0.0000 0.5000
Ca: 0.5000 0.5000 0.0000
Pm: 0.0000 0.0000 0.5000
Pm: 0.0000 0.5000 0.0000
Pm: 0.5000 0.0000 0.0000
Sm: 0.5000 0.5000 0.5000
Se: 0.2493 0.2493 0.7477
Se: 0.2493 0.7477 0.2493
Se: 0.2515 0.2515 0.2515
Se: 0.2523 0.7507 0.7507
Se: 0.7477 0.2493 0.2493
Se: 0.7485 0.7485 0.7485
Se: 0.7507 0.2523 0.7507
Se: 0.7507 0.7507 0.2523

The value obtained for the size of the total moment is 0.0 μB/f.u. For the uncorrected formation energy, the calculation gives -1.905 eV per atom. The value obtained for the total energy is -85.3 eV for the cell shown.

## Ca3PmSm3Se8 (PBE)

Data for a relaxed Ca3PmSm3Se8 crystal.

abc: 8.4032 8.4032 8.4032
angles: 59.52 59.52 59.52
Positions (direct):
Ca: 0.0000 0.5000 0.5000
Ca: 0.5000 0.0000 0.5000
Ca: 0.5000 0.5000 0.0000
Pm: 0.5000 0.5000 0.5000
Sm: 0.0000 0.0000 0.5000
Sm: 0.0000 0.5000 0.0000
Sm: 0.5000 0.0000 0.0000
Se: 0.2484 0.7503 0.7503
Se: 0.2504 0.2504 0.2504
Se: 0.2497 0.2497 0.7516
Se: 0.2497 0.7516 0.2497
Se: 0.7503 0.2484 0.7503
Se: 0.7503 0.7503 0.2484
Se: 0.7496 0.7496 0.7496
Se: 0.7516 0.2497 0.2497

The value obtained for the size of the total moment is 0.0 μB/f.u. For the uncorrected formation energy, the calculation gives -1.921 eV per atom. The value obtained for the total energy is -81.6 eV for the cell shown.

## Ca2PmSmSe4 (PBE)

Data for a relaxed Ca2PmSmSe4 crystal.

abc: 7.2019 4.1617 7.3537
angles: 90.00 109.09 90.00
Positions (direct):
Ca: 0.0000 0.0000 0.0000
Ca: 0.5000 0.5000 0.0000
Pm: 0.0000 0.5000 0.5000
Sm: 0.5000 0.0000 0.5000
Se: 0.2497 0.5000 0.2469
Se: 0.2525 0.0000 0.7539
Se: 0.7475 0.0000 0.2461
Se: 0.7503 0.5000 0.7531

The value obtained for the size of the total moment is 0.0 μB/f.u. For the uncorrected formation energy, the calculation gives -1.902 eV per atom. The value obtained for the total energy is -42.6 eV for the cell shown.

## Ca4PmSm3Se8 (PBE)

Data for a relaxed Ca4PmSm3Se8 crystal.

abc: 8.4394 8.4394 8.4394
angles: 58.99 58.99 58.99
Positions (direct):
Ca: 0.0000 0.0000 0.0000
Ca: 0.0000 0.5000 0.5000
Ca: 0.5000 0.0000 0.5000
Ca: 0.5000 0.5000 0.0000
Pm: 0.5000 0.5000 0.5000
Sm: 0.0000 0.0000 0.5000
Sm: 0.0000 0.5000 0.0000
Sm: 0.5000 0.0000 0.0000
Se: 0.2485 0.2485 0.7499
Se: 0.2485 0.7499 0.2485
Se: 0.2501 0.7515 0.7515
Se: 0.2508 0.2508 0.2508
Se: 0.7492 0.7492 0.7492
Se: 0.7499 0.2485 0.2485
Se: 0.7515 0.2501 0.7515
Se: 0.7515 0.7515 0.2501

The value obtained for the size of the total moment is 0.0 μB/f.u. For the uncorrected formation energy, the calculation gives -1.902 eV per atom. The value obtained for the total energy is -85.2 eV for the cell shown.

## CaPmSm4Se8 (PBE)

Data for a relaxed CaPmSm4Se8 crystal.

abc: 8.6257 8.6257 8.6257
angles: 59.92 59.92 59.92
Positions (direct):
Ca: 0.0000 0.0000 0.0000
Pm: 0.6274 0.6274 0.6274
Sm: 0.1191 0.6273 0.6273
Sm: 0.2504 0.2504 0.2504
Sm: 0.6273 0.1191 0.6273
Sm: 0.6273 0.6273 0.1191
Se: 0.3834 0.3834 0.3834
Se: 0.3826 0.3826 0.8516
Se: 0.3826 0.8516 0.3826
Se: 0.4008 0.8675 0.8675
Se: 0.8516 0.3826 0.3826
Se: 0.8665 0.8665 0.8665
Se: 0.8675 0.4008 0.8675
Se: 0.8675 0.8675 0.4008

The value obtained for the size of the total moment is 0.0 μB/f.u. For the uncorrected formation energy, the calculation gives -1.802 eV per atom. The value obtained for the total energy is -78.7 eV for the cell shown.

## Ca3PmSm2Se6 (PBE)

Data for a relaxed Ca3PmSm2Se6 crystal.

abc: 7.2040 7.2040 7.3426
angles: 99.44 99.44 119.95
Positions (direct):
Ca: 0.0000 0.0000 0.0000
Ca: 0.3336 0.6664 0.0000
Ca: 0.6664 0.3336 0.0000
Pm: 0.5000 0.5000 0.5000
Sm: 0.1666 0.8334 0.5000
Sm: 0.8334 0.1666 0.5000
Se: 0.0810 0.4156 0.2468
Se: 0.2499 0.2499 0.7533
Se: 0.4156 0.0810 0.2468
Se: 0.5844 0.9190 0.7532
Se: 0.7501 0.7501 0.2467
Se: 0.9190 0.5844 0.7532

The value obtained for the size of the total moment is 0.0 μB/f.u. For the uncorrected formation energy, the calculation gives -1.902 eV per atom. The value obtained for the total energy is -63.9 eV for the cell shown.